{"formula": "K3Y3NbSe8", "functional": "PBE", "state": "optimized geometry", "lattice_angstrom": [[4.087, 2.360, 7.862], [-4.087, 2.360, 7.862], [0.000, -4.720, 7.862]], "species": ["K", "K", "K", "Y", "Y", "Y", "Nb", "Se", "Se", "Se", "Se", "Se", "Se", "Se", "Se"], "fractional_positions": [[0.000, 0.500, 0.500], [0.500, 0.000, 0.500], [0.500, 0.500, 0.000], [0.000, 0.000, 0.500], [0.000, 0.500, 0.000], [0.500, 0.000, 0.000], [0.500, 0.500, 0.500], [0.236, 0.236, 0.236], [0.252, 0.722, 0.722], [0.278, 0.278, 0.748], [0.278, 0.748, 0.278], [0.722, 0.252, 0.722], [0.722, 0.722, 0.252], [0.748, 0.278, 0.278], [0.764, 0.764, 0.764]]}

{"formula": "KZrNbSe3", "functional": "PBE", "state": "optimized geometry", "lattice_angstrom": [[9.140, 0.000, 0.000], [0.000, 3.797, 0.000], [-4.271, 0.000, 9.027]], "species": ["K", "K", "Zr", "Zr", "Nb", "Nb", "Se", "Se", "Se", "Se", "Se", "Se"], "fractional_positions": [[0.214, 0.250, 0.243], [0.786, 0.750, 0.757], [0.336, 0.750, 0.858], [0.664, 0.250, 0.142], [0.087, 0.250, 0.607], [0.913, 0.750, 0.393], [0.121, 0.250, 0.875], [0.239, 0.750, 0.532], [0.458, 0.750, 0.156], [0.542, 0.250, 0.844], [0.761, 0.250, 0.468], [0.879, 0.750, 0.125]]}

{"formula": "KNb3Si", "functional": "PBE", "state": "optimized geometry", "lattice_angstrom": [[4.591, 0.000, 0.000], [0.000, 4.591, 0.000], [0.000, 0.000, 4.591]], "species": ["K", "Nb", "Nb", "Nb", "Si"], "fractional_positions": [[0.000, 0.000, 0.000], [0.000, 0.000, 0.500], [0.000, 0.500, 0.000], [0.500, 0.000, 0.000], [0.500, 0.500, 0.500]], "relative_energy_mev_per_atom": 1481}

The records above give, respectively, magnetic moment values of 1.0 0.0 0.0 μB per formula unit.
The records above give, respectively, formation energy (no corrections) values of -1.521 -1.106 2.581 eV per atom.